1.
Material: Pr3Nd4Sm
Method: DFT, GGA-PBE
State: optimized geometry

abc: 10.4277 7.3722 7.3726
angles: 90.00 90.00 90.00
Closest atoms and distances in Å follow each position.
Space group Pmna (No. 53)
Asymmetric unit:
Pr: 0.0000 0.0000 0.0000 x2  8 Nd 3.69, 4 Pr 3.69
Pr: 0.2500 0.2512 0.2500 x4  8 Nd 3.67-3.70, 2 Sm 3.68, 2 Pr 3.69
Nd: 0.0000 0.0000 0.5000 x2  2 Sm 3.69, 6 Pr 3.69, 4 Nd 3.69
Nd: 0.0000 0.5000 0.0000 x2  4 Nd 3.68, 6 Pr 3.68-3.69, 2 Sm 3.69
Nd: 0.2500 0.2513 0.7500 x4  6 Pr 3.67-3.70, 4 Nd 3.68-3.69, 2 Sm 3.68
Sm: 0.0000 0.5000 0.5000 x2  8 Nd 3.68-3.69, 4 Pr 3.68

Values from the calculation:
- Formation energy: 0.0125 eV/atom
- E above lowest polymorph: 0 meV per atom
- Spin magnetization: 0.00 μB per formula unit
- Calculated volume: 283.39 Å³/f.u.

=====

2.
Material: PrNd2Sm6
Method: DFT, GGA-PBE
State: optimized geometry

abc: 7.6534 7.6534 6.1986
angles: 90.00 90.00 120.00
Closest atoms and distances in Å follow each position.
Space group P-3m1 (No. 164)
Asymmetric unit:
Pr: 0.0000 0.0000 0.0000 x1  6 Sm 3.07
Nd: 0.3333 0.6667 0.7848 x2  12 Sm 3.62-3.87
Sm: 0.1875 0.3750 0.2918 x6  1 Pr 3.07, 2 Sm 3.35

Values from the calculation:
- Formation energy: 0.2081 eV/atom
- E above lowest polymorph: 153 meV per atom
- Spin magnetization: 0.01 μB per formula unit
- Calculated volume: 314.49 Å³/f.u.

=====

3.
Material: Pr3Nd3Sm2
Method: DFT, GGA-PBE
State: optimized geometry

abc: 5.6955 16.6124 6.7026
angles: 90.00 115.01 90.00
Closest atoms and distances in Å follow each position.
Space group P2_1/m (No. 11)
Asymmetric unit:
Pr: 0.0390 0.2500 0.0755 x2  1 Nd 3.36, 2 Sm 3.49
Pr: 0.1223 0.5504 0.2425 x4  1 Pr 3.39, 3 Sm 3.39-3.56, 6 Nd 3.61-3.79
Nd: 0.2403 0.7500 0.4773 x2  3 Pr 3.36-3.61, 4 Sm 3.46-3.47, 2 Nd 3.46
Nd: 0.4253 0.5929 0.8514 x4  2 Nd 3.46-3.58, 3 Sm 3.70-3.81, 5 Pr 3.75-3.79
Sm: 0.2737 0.1318 0.5497 x4  4 Pr 3.39-3.56, 3 Nd 3.46-3.70

Values from the calculation:
- Formation energy: 0.1181 eV/atom
- E above lowest polymorph: 106 meV per atom
- Spin magnetization: 0.00 μB per formula unit
- Calculated volume: 287.35 Å³/f.u.

=====

4.
Material: PrNd5Sm3
Method: DFT, GGA-PBE
State: optimized geometry

abc: 11.6018 11.5212 11.9149
angles: 90.00 116.67 90.00
Closest atoms and distances in Å follow each position.
Space group C2/m (No. 12)
Asymmetric unit:
Pr: 0.0910 0.0000 0.2953 x4  4 Sm 3.06-3.19, 1 Nd 3.33
Nd: 0.0000 0.2571 0.5000 x4  3 Sm 2.96-3.31
Nd: 0.0319 0.5000 0.8836 x4  2 Nd 3.18-3.24, 2 Sm 3.28-3.29
Nd: 0.1919 0.5000 0.4038 x4  3 Sm 3.23-3.48, 1 Nd 3.24, 1 Pr 3.33
Nd: 0.2014 0.2357 0.1431 x8  3 Sm 3.21-3.59
Sm: 0.0000 0.0000 0.0000 x2  2 Pr 3.19, 4 Nd 3.49
Sm: 0.0000 0.0000 0.5000 x2  4 Nd 2.96-3.23, 2 Pr 3.06
Sm: 0.1202 0.5000 0.6582 x4  1 Pr 3.14, 5 Nd 3.28-3.48
Sm: 0.2075 0.0000 0.8456 x4  1 Pr 3.10, 3 Nd 3.21-3.29

Values from the calculation:
- Formation energy: 0.5402 eV/atom
- E above lowest polymorph: 272 meV per atom
- Spin magnetization: 0.00 μB per formula unit
- Calculated volume: 355.80 Å³/f.u.

=====

5.
Material: PrNd7Sm12
Method: DFT, GGA-PBE
State: optimized geometry

abc: 11.5605 11.5605 11.5605
angles: 90.00 90.00 90.00
Closest atoms and distances in Å follow each position.
Space group Im-3m (No. 229)
Asymmetric unit:
Pr: 0.0000 0.0000 0.0000 x2  12 Sm 4.10
Nd: 0.0000 0.0000 0.5000 x6  12 Sm 4.07-4.09
Nd: 0.2500 0.2500 0.2500 x8  6 Sm 2.89
Sm: 0.0000 0.2509 0.2509 x24  2 Nd 2.89

Values from the calculation:
- Formation energy: 0.5927 eV/atom
- E above lowest polymorph: 374 meV per atom
- Spin magnetization: 0.00 μB per formula unit
- Calculated volume: 772.50 Å³/f.u.

=====

6.
Material: Pr4Nd3Sm5
Method: DFT, GGA-PBE
State: optimized geometry

abc: 16.4359 6.0932 9.5096
angles: 90.00 116.07 90.00
Closest atoms and distances in Å follow each position.
Space group C2/m (No. 12)
Asymmetric unit:
Pr: 0.0833 0.0000 0.4424 x4  2 Pr 3.37-3.73, 1 Nd 3.48, 3 Sm 3.51-3.61
Pr: 0.2115 0.0000 0.8784 x4  3 Nd 3.34-3.63, 3 Pr 3.70-3.73, 2 Sm 3.74
Nd: 0.0000 0.5000 0.0000 x2  2 Sm 3.05
Nd: 0.2087 0.0000 0.2276 x4  3 Sm 3.15-3.34, 2 Pr 3.34-3.48
Sm: 0.0000 0.0000 0.0000 x2  4 Nd 3.05-3.15
Sm: 0.0727 0.5000 0.6982 x4  2 Nd 3.34-3.56, 2 Sm 3.46-3.74, 2 Pr 3.74
Sm: 0.1721 0.5000 0.3889 x4  4 Nd 3.30-3.58, 3 Pr 3.51-3.61

Values from the calculation:
- Formation energy: 0.1984 eV/atom
- E above lowest polymorph: 186 meV per atom
- Spin magnetization: 0.00 μB per formula unit
- Calculated volume: 427.72 Å³/f.u.

=====

7.
Material: Pr2Nd5Sm12
Method: DFT, GGA-PBE
State: optimized geometry

abc: 15.9850 9.3971 8.8631
angles: 90.00 92.67 90.00
Closest atoms and distances in Å follow each position.
Space group C2/m (No. 12)
Asymmetric unit:
Pr: 0.0000 0.1718 0.0000 x4  1 Pr 3.23, 6 Sm 3.41-3.53
Nd: 0.0000 0.5000 0.5000 x2  10 Sm 3.48-3.85, 2 Nd 3.73
Nd: 0.2107 0.0000 0.0318 x4  8 Sm 3.54-3.81, 1 Nd 3.62, 2 Pr 3.73
Nd: 0.2319 0.5000 0.5688 x4  7 Sm 3.42-3.64, 2 Nd 3.62-3.73
Sm: 0.0575 0.0000 0.3432 x4  7 Sm 3.40-3.62, 2 Nd 3.42-3.77, 2 Pr 3.53
Sm: 0.0715 0.5000 0.8769 x4  3 Sm 3.23-3.53, 2 Nd 3.48-3.54, 2 Pr 3.48
Sm: 0.1313 0.1943 0.6763 x8  4 Nd 3.45-3.85, 5 Sm 3.52-3.65, 1 Pr 3.64
Sm: 0.1476 0.3205 0.2417 x8  3 Sm 3.37-3.58, 1 Pr 3.41, 3 Nd 3.56-3.76

Values from the calculation:
- Formation energy: 0.1240 eV/atom
- Spin magnetization: 0.00 μB per formula unit
- Calculated volume: 664.95 Å³/f.u.

=====

8.
Material: Pr5NdSm5
Method: DFT, GGA-PBE
State: optimized geometry

abc: 19.2310 6.1602 7.1132
angles: 90.00 111.14 90.00
Closest atoms and distances in Å follow each position.
Space group C2/m (No. 12)
Asymmetric unit:
Pr: 0.0000 0.0000 0.0000 x2  2 Sm 3.06, 2 Nd 3.08
Pr: 0.1751 0.5000 0.4188 x4  6 Sm 3.32-3.70, 2 Pr 3.47-3.65, 1 Nd 3.60
Pr: 0.1749 0.5000 0.9310 x4  6 Sm 3.32-3.68, 2 Pr 3.47-3.65, 1 Nd 3.57
Nd: 0.0000 0.5000 0.0000 x2  2 Pr 3.08
Sm: 0.0000 0.5000 0.5000 x2  2 Nd 3.56, 4 Pr 3.62-3.64, 4 Sm 3.81
Sm: 0.1249 0.0000 0.6286 x4  4 Sm 3.64-3.81, 6 Pr 3.68-3.99
Sm: 0.1704 0.0000 0.1736 x4  3 Pr 3.06-3.32

Values from the calculation:
- Formation energy: 0.2298 eV/atom
- E above lowest polymorph: 94 meV per atom
- Spin magnetization: 0.33 μB per formula unit
- Calculated volume: 393.00 Å³/f.u.

=====

9.
Material: Pr5Nd2Sm3
Method: DFT, GGA-PBE
State: optimized geometry

abc: 11.0869 15.0653 10.1890
angles: 90.00 122.88 90.00
Closest atoms and distances in Å follow each position.
Space group C2/c (No. 15)
Asymmetric unit:
Pr: 0.0000 0.0238 0.2500 x4  1 Pr 3.12, 2 Sm 3.43
Pr: 0.0000 0.2306 0.2500 x4  1 Pr 3.12, 2 Nd 3.43
Pr: 0.0000 0.2710 0.7500 x4  3 Sm 3.16-3.41
Pr: 0.2427 0.1233 0.7371 x8  3 Sm 3.51-3.84, 3 Pr 3.54-3.55, 2 Nd 3.78-3.88
Nd: 0.1500 0.3766 0.5573 x8  3 Sm 3.32-3.55, 4 Pr 3.43-3.64
Sm: 0.0000 0.4809 0.7500 x4  3 Pr 3.16-3.51, 2 Nd 3.40
Sm: 0.1569 0.1247 0.0545 x8  1 Nd 3.32, 5 Pr 3.41-3.65, 1 Sm 3.57

Values from the calculation:
- Formation energy: 0.1699 eV/atom
- E above lowest polymorph: 0 meV per atom
- Spin magnetization: 0.00 μB per formula unit
- Calculated volume: 357.32 Å³/f.u.

=====

10.
Material: Pr6Nd2Sm
Method: DFT, GGA-PBE
State: optimized geometry

abc: 10.1110 17.6019 3.5924
angles: 90.00 90.00 90.00
Closest atoms and distances in Å follow each position.
Space group Cmmm (No. 65)
Asymmetric unit:
Pr: 0.1671 0.1663 0.0000 x8  5 Pr 3.37-3.59
Pr: 0.1680 0.5000 0.0000 x4  5 Pr 3.37-3.59
Nd: 0.0000 0.3333 0.5000 x4  2 Nd 3.59, 12 Pr 3.81-3.84
Sm: 0.0000 0.0000 0.5000 x2  2 Sm 3.59, 12 Pr 3.81-3.83

Values from the calculation:
- Formation energy: 0.0496 eV/atom
- E above lowest polymorph: 0 meV per atom
- Spin magnetization: 0.00 μB per formula unit
- Calculated volume: 319.67 Å³/f.u.